Entry 1:
# VGaRu | Alexandria via LeMat-Bulk | GGA-PBE | optimized geometry
data_VGaRu
_symmetry_space_group_name_H-M 'I 4 m m'
_symmetry_Int_Tables_number 107
_symmetry_space_group_name_Hall 'I 4 -2'
_cell_length_a 3.045
_cell_length_b 3.045
_cell_length_c 8.962
_cell_angle_alpha 90.00
_cell_angle_beta 90.00
_cell_angle_gamma 90.00
loop_
_atom_site_label
_atom_site_fract_x
_atom_site_fract_y
_atom_site_fract_z
V1 0.000 0.000 0.000
Ga1 0.000 0.000 0.327
Ru1 0.000 0.000 0.652
# DOS at the Fermi energy in states/eV per cell: 2.81
# V in Å³/cell: 83.1
# Mass density in g cm⁻³: 8.86
# Energy of formation from the pure elements in eV per atom: -0.35


Entry 2:
# VGaRu3 | Alexandria via LeMat-Bulk | GGA-PBE | optimized geometry
data_VGaRu3
_symmetry_space_group_name_H-M 'P m -3 m'
_symmetry_Int_Tables_number 221
_symmetry_space_group_name_Hall '-P 4 2 3'
_cell_length_a 4.447
_cell_length_b 4.447
_cell_length_c 4.447
_cell_angle_alpha 90.00
_cell_angle_beta 90.00
_cell_angle_gamma 90.00
loop_
_atom_site_label
_atom_site_fract_x
_atom_site_fract_y
_atom_site_fract_z
V1 0.000 0.000 0.000
Ga1 0.500 0.500 0.500
Ru1 0.000 0.000 0.500
# ΔE to the lowest computed polymorph in meV per atom: 966
# DOS at the Fermi energy in states/eV per cell: 7.27
# V in Å³/cell: 87.9
# Mass density in g cm⁻³: 8.00
# Energy of formation from the pure elements in eV per atom: 1.05


Entry 3:
# V6GaRu | Alexandria via LeMat-Bulk | GGA-PBE | optimized geometry
data_V6GaRu
_symmetry_space_group_name_H-M 'A m m 2'
_symmetry_Int_Tables_number 38
_symmetry_space_group_name_Hall 'A 2 -2'
_cell_length_a 4.234
_cell_length_b 6.012
_cell_length_c 8.501
_cell_angle_alpha 90.00
_cell_angle_beta 90.00
_cell_angle_gamma 90.00
loop_
_atom_site_label
_atom_site_fract_x
_atom_site_fract_y
_atom_site_fract_z
V1 0.000 0.000 0.000
V2 0.000 0.236 0.747
V3 0.500 0.000 0.745
V4 0.500 0.245 0.993
Ga1 0.500 0.000 0.242
Ru1 0.000 0.000 0.489
# DOS at the Fermi energy in states/eV per cell: 13.64
# V in Å³/cell: 216.4
# Mass density in g cm⁻³: 7.31
# Energy of formation from the pure elements in eV per atom: -0.20


Entry 4:
# VGa2Ru3 | Alexandria via LeMat-Bulk | GGA-PBE | optimized geometry
data_VGa2Ru3
_symmetry_space_group_name_H-M 'P 4/m m m'
_symmetry_Int_Tables_number 123
_symmetry_space_group_name_Hall '-P 4 2'
_cell_length_a 3.035
_cell_length_b 3.035
_cell_length_c 8.991
_cell_angle_alpha 90.00
_cell_angle_beta 90.00
_cell_angle_gamma 90.00
loop_
_atom_site_label
_atom_site_fract_x
_atom_site_fract_y
_atom_site_fract_z
V1 0.000 0.000 0.000
Ga1 0.000 0.000 0.336
Ru1 0.500 0.500 0.161
Ru2 0.500 0.500 0.500
# DOS at the Fermi energy in states/eV per cell: 4.12
# V in Å³/cell: 82.8
# Mass density in g cm⁻³: 9.90
# Energy of formation from the pure elements in eV per atom: -0.38


Entry 5:
# VGaRu | Alexandria via LeMat-Bulk | GGA-PBE | optimized geometry
data_VGaRu
_symmetry_space_group_name_H-M 'P 3 m 1'
_symmetry_Int_Tables_number 156
_symmetry_space_group_name_Hall 'P 3 -2"'
_cell_length_a 4.1967
_cell_length_b 4.1967
_cell_length_c 2.7661
_cell_angle_alpha 90.00
_cell_angle_beta 90.00
_cell_angle_gamma 120.00
loop_
_atom_site_label
_atom_site_fract_x
_atom_site_fract_y
_atom_site_fract_z
V1 0.0000 0.0000 0.0000
Ga1 0.3333 0.6667 0.3999
Ru1 0.6667 0.3333 0.7293
# DOS at the Fermi energy in states/eV per cell: 3.02
# V in Å³/cell: 42.2
# Mass density in g cm⁻³: 8.73
# Energy of formation from the pure elements in eV per atom: -0.20


Entry 6:
# VGa4Ru5 | Alexandria via LeMat-Bulk | GGA-PBE | optimized geometry
data_VGa4Ru5
_symmetry_space_group_name_H-M 'P 4/m m m'
_symmetry_Int_Tables_number 123
_symmetry_space_group_name_Hall '-P 4 2'
_cell_length_a 3.033
_cell_length_b 3.033
_cell_length_c 15.065
_cell_angle_alpha 90.00
_cell_angle_beta 90.00
_cell_angle_gamma 90.00
loop_
_atom_site_label
_atom_site_fract_x
_atom_site_fract_y
_atom_site_fract_z
V1 0.000 0.000 0.000
Ga1 0.000 0.000 0.201
Ga2 0.000 0.000 0.399
Ru1 0.500 0.500 0.096
Ru2 0.500 0.500 0.298
Ru3 0.500 0.500 0.500
# DOS at the Fermi energy in states/eV per cell: 7.47
# V in Å³/cell: 138.5
# Mass density in g cm⁻³: 10.01
# Energy of formation from the pure elements in eV per atom: -0.35


Entry 7:
# V3Ga2Ru2 | Alexandria via LeMat-Bulk | GGA-PBE | optimized geometry
data_V3Ga2Ru2
_symmetry_space_group_name_H-M 'R -3 m'
_symmetry_Int_Tables_number 166
_symmetry_space_group_name_Hall '-R 3 2"'
_cell_length_a 4.2666
_cell_length_b 4.2666
_cell_length_c 18.3750
_cell_angle_alpha 90.00
_cell_angle_beta 90.00
_cell_angle_gamma 120.00
loop_
_atom_site_label
_atom_site_fract_x
_atom_site_fract_y
_atom_site_fract_z
V1 0.0000 0.0000 0.0000
V2 0.0000 0.0000 0.1520
Ga1 0.0000 0.0000 0.4280
Ru1 0.0000 0.0000 0.2851
# DOS at the Fermi energy in states/eV per cell: 8.98
# V in Å³/cell: 289.7
# Mass density in g cm⁻³: 8.50
# Energy of formation from the pure elements in eV per atom: -0.35


Entry 8:
# VGa2Ru2 | Alexandria via LeMat-Bulk | GGA-PBE | optimized geometry
data_VGa2Ru2
_symmetry_space_group_name_H-M 'P 4/m b m'
_symmetry_Int_Tables_number 127
_symmetry_space_group_name_Hall '-P 4 2ab'
_cell_length_a 6.994
_cell_length_b 6.994
_cell_length_c 2.979
_cell_angle_alpha 90.00
_cell_angle_beta 90.00
_cell_angle_gamma 90.00
loop_
_atom_site_label
_atom_site_fract_x
_atom_site_fract_y
_atom_site_fract_z
V1 0.000 0.000 0.000
Ga1 0.133 0.367 0.000
Ru1 0.167 0.667 0.500
# ΔE to the lowest computed polymorph in meV per atom: 0
# DOS at the Fermi energy in states/eV per cell: 8.52
# V in Å³/cell: 145.7
# Mass density in g cm⁻³: 8.95
# Energy of formation from the pure elements in eV per atom: -0.13


Entry 9:
# V2GaRu2 | Alexandria via LeMat-Bulk | GGA-PBE | optimized geometry
data_V2GaRu2
_symmetry_space_group_name_H-M 'P 4/m b m'
_symmetry_Int_Tables_number 127
_symmetry_space_group_name_Hall '-P 4 2ab'
_cell_length_a 7.226
_cell_length_b 7.226
_cell_length_c 2.840
_cell_angle_alpha 90.00
_cell_angle_beta 90.00
_cell_angle_gamma 90.00
loop_
_atom_site_label
_atom_site_fract_x
_atom_site_fract_y
_atom_site_fract_z
V1 0.148 0.352 0.000
Ga1 0.000 0.000 0.000
Ru1 0.145 0.645 0.500
# DOS at the Fermi energy in states/eV per cell: 9.98
# V in Å³/cell: 148.3
# Mass density in g cm⁻³: 8.37
# Energy of formation from the pure elements in eV per atom: -0.01


Entry 10:
# V2Ga2Ru | Alexandria via LeMat-Bulk | GGA-PBE | optimized geometry
data_V2Ga2Ru
_symmetry_space_group_name_H-M 'P 4/m b m'
_symmetry_Int_Tables_number 127
_symmetry_space_group_name_Hall '-P 4 2ab'
_cell_length_a 6.610
_cell_length_b 6.610
_cell_length_c 3.278
_cell_angle_alpha 90.00
_cell_angle_beta 90.00
_cell_angle_gamma 90.00
loop_
_atom_site_label
_atom_site_fract_x
_atom_site_fract_y
_atom_site_fract_z
V1 0.168 0.332 0.000
Ga1 0.134 0.634 0.500
Ru1 0.000 0.000 0.500
# ΔE to the lowest computed polymorph in meV per atom: 0
# DOS at the Fermi energy in states/eV per cell: 7.28
# V in Å³/cell: 143.2
# Mass density in g cm⁻³: 7.94
# Energy of formation from the pure elements in eV per atom: -0.09


Entry 11:
# V2GaRu2 | Alexandria via LeMat-Bulk | GGA-PBE | optimized geometry
data_V2GaRu2
_symmetry_space_group_name_H-M 'C m c m'
_symmetry_Int_Tables_number 63
_symmetry_space_group_name_Hall '-C 2c 2'
_cell_length_a 3.034
_cell_length_b 21.408
_cell_length_c 4.210
_cell_angle_alpha 90.00
_cell_angle_beta 90.00
_cell_angle_gamma 90.00
loop_
_atom_site_label
_atom_site_fract_x
_atom_site_fract_y
_atom_site_fract_z
V1 0.000 0.051 0.250
V2 0.000 0.246 0.250
Ga1 0.000 0.152 0.750
Ru1 0.000 0.352 0.750
Ru2 0.000 0.453 0.250
# DOS at the Fermi energy in states/eV per cell: 9.47
# V in Å³/cell: 273.4
# Mass density in g cm⁻³: 9.08
# Energy of formation from the pure elements in eV per atom: -0.35


Entry 12:
# V2Ga2Ru3 | Alexandria via LeMat-Bulk | GGA-PBE | optimized geometry
data_V2Ga2Ru3
_symmetry_space_group_name_H-M 'P -1'
_symmetry_Int_Tables_number 2
_symmetry_space_group_name_Hall '-P 1'
_cell_length_a 4.237
_cell_length_b 4.238
_cell_length_c 7.187
_cell_angle_alpha 89.93
_cell_angle_beta 73.19
_cell_angle_gamma 60.02
loop_
_atom_site_label
_atom_site_fract_x
_atom_site_fract_y
_atom_site_fract_z
V1 0.237 0.381 0.148
Ga1 0.255 0.873 0.611
Ru1 0.000 0.000 0.000
Ru2 0.480 0.260 0.773
# DOS at the Fermi energy in states/eV per cell: 3.31
# V in Å³/cell: 105.4
# Mass density in g cm⁻³: 8.58
# Energy of formation from the pure elements in eV per atom: -0.25


Question: Which formula does entry 10 have?
Answer: V2Ga2Ru